Entry 1:
Here is a relaxed Zr4TcPt crystal from Alexandria. Energies are from GGA-PBE.

Energy in eV/atom: -8.029
Crystal system: cubic
SG: F-43m, No. 216

The structure in CIF format:
```
data_Zr4TcPt
_cell_length_a 5.5375
_cell_length_b 5.5375
_cell_length_c 5.5375
_cell_angle_alpha 60.00
_cell_angle_beta 60.00
_cell_angle_gamma 60.00
_symmetry_space_group_name_H-M 'P 1'
_symmetry_Int_Tables_number 1
_symmetry_space_group_name_Hall 'P 1'
loop_
_atom_site_label
_atom_site_type_symbol
_atom_site_fract_x
_atom_site_fract_y
_atom_site_fract_z
_atom_site_occupancy
Zr1 Zr 0.1254 0.1254 0.1254 1
Zr2 Zr 0.1254 0.1254 0.6238 1
Zr3 Zr 0.1254 0.6238 0.1254 1
Zr4 Zr 0.6238 0.1254 0.1254 1
Tc1 Tc 0.5000 0.5000 0.5000 1
Pt1 Pt 0.7500 0.7500 0.7500 1
```



Entry 2:
Here is a relaxed ScSiPb2 crystal from Alexandria. Energies are from GGA-PBE.

Formation energy without anion corrections in kJ/mol of atoms: -5
Energy in eV/atom: -4.849
Crystal system: orthorhombic
SG: Pmm2, No. 25

The structure in CIF format:
```
data_ScSiPb2
_cell_length_a 3.6512
_cell_length_b 3.9728
_cell_length_c 7.0124
_cell_angle_alpha 90.00
_cell_angle_beta 90.00
_cell_angle_gamma 90.00
_symmetry_space_group_name_H-M 'P 1'
_symmetry_Int_Tables_number 1
_symmetry_space_group_name_Hall 'P 1'
loop_
_atom_site_label
_atom_site_type_symbol
_atom_site_fract_x
_atom_site_fract_y
_atom_site_fract_z
_atom_site_occupancy
Sc1 Sc 0.0000 0.0000 0.0000 1
Si1 Si 0.5000 0.5000 0.0974 1
Pb1 Pb 0.0000 0.0000 0.4316 1
Pb2 Pb 0.5000 0.5000 0.7000 1
```



Entry 3:
Here is a relaxed DyCdHgGe crystal from Alexandria. Energies are from GGA-PBE.

Energy in eV/atom: -2.872
Crystal system: cubic
SG: F-43m, No. 216

The structure in CIF format:
```
data_DyCdHgGe
_cell_length_a 7.1511
_cell_length_b 7.1511
_cell_length_c 7.1511
_cell_angle_alpha 90.00
_cell_angle_beta 90.00
_cell_angle_gamma 90.00
_symmetry_space_group_name_H-M 'P 1'
_symmetry_Int_Tables_number 1
_symmetry_space_group_name_Hall 'P 1'
loop_
_atom_site_label
_atom_site_type_symbol
_atom_site_fract_x
_atom_site_fract_y
_atom_site_fract_z
_atom_site_occupancy
Dy1 Dy 0.0000 0.0000 0.0000 1
Dy2 Dy 0.0000 0.5000 0.5000 1
Dy3 Dy 0.5000 0.0000 0.5000 1
Dy4 Dy 0.5000 0.5000 0.0000 1
Cd1 Cd 0.0000 0.0000 0.5000 1
Cd2 Cd 0.0000 0.5000 0.0000 1
Cd3 Cd 0.5000 0.0000 0.0000 1
Cd4 Cd 0.5000 0.5000 0.5000 1
Hg1 Hg 0.2500 0.2500 0.2500 1
Hg2 Hg 0.2500 0.7500 0.7500 1
Hg3 Hg 0.7500 0.2500 0.7500 1
Hg4 Hg 0.7500 0.7500 0.2500 1
Ge1 Ge 0.2500 0.2500 0.7500 1
Ge2 Ge 0.2500 0.7500 0.2500 1
Ge3 Ge 0.7500 0.2500 0.2500 1
Ge4 Ge 0.7500 0.7500 0.7500 1
```



Entry 4:
Here is a relaxed Zn2SbClF crystal from Alexandria. Energies are from GGA-PBE.

Formation energy without anion corrections in kJ/mol of atoms: 3
Energy in eV/atom: -2.046
Crystal system: tetragonal
SG: P4/mmm, No. 123

The structure in CIF format:
```
data_Zn2SbClF
_cell_length_a 4.9338
_cell_length_b 4.9338
_cell_length_c 4.2676
_cell_angle_alpha 90.00
_cell_angle_beta 90.00
_cell_angle_gamma 90.00
_symmetry_space_group_name_H-M 'P 1'
_symmetry_Int_Tables_number 1
_symmetry_space_group_name_Hall 'P 1'
loop_
_atom_site_label
_atom_site_type_symbol
_atom_site_fract_x
_atom_site_fract_y
_atom_site_fract_z
_atom_site_occupancy
Zn1 Zn 0.0000 0.5000 0.0000 1
Zn2 Zn 0.5000 0.0000 0.0000 1
Sb1 Sb 0.0000 0.0000 0.5000 1
Cl1 Cl 0.5000 0.5000 0.0000 1
F1 F 0.5000 0.5000 0.5000 1
```



Entry 5:
Here is a relaxed TmPuCdSn crystal from Alexandria. Energies are from GGA-PBE.

Energy in eV/atom: -6.237
Crystal system: cubic
SG: F-43m, No. 216

The structure in CIF format:
```
data_TmPuCdSn
_cell_length_a 7.4901
_cell_length_b 7.4901
_cell_length_c 7.4901
_cell_angle_alpha 90.00
_cell_angle_beta 90.00
_cell_angle_gamma 90.00
_symmetry_space_group_name_H-M 'P 1'
_symmetry_Int_Tables_number 1
_symmetry_space_group_name_Hall 'P 1'
loop_
_atom_site_label
_atom_site_type_symbol
_atom_site_fract_x
_atom_site_fract_y
_atom_site_fract_z
_atom_site_occupancy
Tm1 Tm 0.0000 0.0000 0.0000 1
Tm2 Tm 0.0000 0.5000 0.5000 1
Tm3 Tm 0.5000 0.0000 0.5000 1
Tm4 Tm 0.5000 0.5000 0.0000 1
Pu1 Pu 0.0000 0.0000 0.5000 1
Pu2 Pu 0.0000 0.5000 0.0000 1
Pu3 Pu 0.5000 0.0000 0.0000 1
Pu4 Pu 0.5000 0.5000 0.5000 1
Cd1 Cd 0.2500 0.2500 0.7500 1
Cd2 Cd 0.2500 0.7500 0.2500 1
Cd3 Cd 0.7500 0.2500 0.2500 1
Cd4 Cd 0.7500 0.7500 0.7500 1
Sn1 Sn 0.2500 0.2500 0.2500 1
Sn2 Sn 0.2500 0.7500 0.7500 1
Sn3 Sn 0.7500 0.2500 0.7500 1
Sn4 Sn 0.7500 0.7500 0.2500 1
```



Entry 6:
Here is a relaxed Pr7Er12Pb crystal from Alexandria. Energies are from GGA-PBE.

Energy in eV/atom: -4.521
Crystal system: triclinic
SG: P-1, No. 2

The structure in CIF format:
```
data_Pr7Er12Pb
_cell_length_a 8.4306
_cell_length_b 8.4624
_cell_length_c 9.9421
_cell_angle_alpha 78.63
_cell_angle_beta 72.27
_cell_angle_gamma 88.07
_symmetry_space_group_name_H-M 'P 1'
_symmetry_Int_Tables_number 1
_symmetry_space_group_name_Hall 'P 1'
loop_
_atom_site_label
_atom_site_type_symbol
_atom_site_fract_x
_atom_site_fract_y
_atom_site_fract_z
_atom_site_occupancy
Pr1 Pr 0.0000 0.0000 0.0000 1
Pr2 Pr 0.2328 0.2889 0.3832 1
Pr3 Pr 0.3101 0.6988 0.7851 1
Pr4 Pr 0.4129 0.6430 0.1167 1
Pr5 Pr 0.5871 0.3570 0.8833 1
Pr6 Pr 0.6899 0.3012 0.2149 1
Pr7 Pr 0.7672 0.7111 0.6168 1
Er1 Er 0.0496 0.9795 0.6560 1
Er2 Er 0.0677 0.3795 0.7253 1
Er3 Er 0.1299 0.3674 0.0596 1
Er4 Er 0.2005 0.7203 0.4421 1
Er5 Er 0.3415 0.0422 0.1264 1
Er6 Er 0.4103 0.1179 0.6807 1
Er7 Er 0.5897 0.8821 0.3193 1
Er8 Er 0.6585 0.9578 0.8736 1
Er9 Er 0.7995 0.2797 0.5579 1
Er10 Er 0.8701 0.6326 0.9404 1
Er11 Er 0.9323 0.6205 0.2747 1
Er12 Er 0.9504 0.0205 0.3440 1
Pb1 Pb 0.5000 0.5000 0.5000 1
```